{"formula": "LaMg2CoHg", "functional": "GGA-PBE", "state": "optimized geometry", "n_ef_per_ev_fu": 2.84, "final_energy_ev_per_cell": -16.16, "ef_ev_per_atom": -0.127, "cell": [[5.026, 0.000, 0.000], [0.000, 5.026, 0.000], [0.000, 0.000, 4.964]], "species": ["Mg", "Mg", "Co", "Hg", "La"], "frac_coords": [[0.000, 0.500, 0.000], [0.500, 0.000, 0.000], [0.000, 0.000, 0.000], [0.500, 0.500, 0.500], [0.000, 0.000, 0.500]]}


{"formula": "MgTlInHg2", "functional": "GGA-PBE", "state": "optimized geometry", "n_ef_per_ev_fu": 1.92, "final_energy_ev_per_cell": -7.31, "ef_ev_per_atom": -0.001, "cell": [[5.116, 0.000, 0.000], [-2.558, 4.430, 0.000], [0.000, 0.000, 6.208]], "species": ["Mg", "Tl", "In", "Hg", "Hg"], "frac_coords": [[0.333, 0.667, 0.708], [0.000, 0.000, 0.975], [0.667, 0.333, 0.304], [0.333, 0.667, 0.236], [0.667, 0.333, 0.777]]}